The following is a DFT calculation (PBE+U) of NiOsPbO6 after structural relaxation. Values from VASP.

Computed properties:
Calculated total energy (eV per atom): -6.24
SG: P312 (149)
Calculated volume (A^3/atom): 13.58
M_tot (μB per formula unit): 2.00

Quantum ESPRESSO input file:
```
&SYSTEM
  ibrav = 0, nat = 9, ntyp = 4
/
ATOMIC_SPECIES
Pb 207.20 Pb.upf
Os 190.23 Os.upf
O 16.00 O.upf
Ni 58.69 Ni.upf
ATOMIC_POSITIONS angstrom
Pb -0.001 0.004 5.072
Os 2.636 1.524 2.536
O 4.179 1.687 3.606
O 1.723 2.779 3.606
O 1.093 1.686 1.465
O 3.548 2.779 1.466
O 2.005 0.107 3.607
O 3.267 0.106 1.466
Ni 5.273 3.047 2.536
CELL_PARAMETERS angstrom
5.274 -0.001 0.001
2.637 4.568 -0.002
-0.002 0.004 5.072
```